Below is an optimized crystal structure of YWO4, with properties calculated at the PBE+U level.

Structure (CIF):
```
data_YWO4
_chemical_formula_sum 'Y2 W2 O8'
_cell_length_a 6.895
_cell_length_b 7.117
_cell_length_c 3.336
_cell_angle_alpha 90.00
_cell_angle_beta 90.00
_cell_angle_gamma 90.00
_space_group_name_H-M_alt 'C m m m'
_space_group_IT_number 65
_space_group_name_Hall '-C 2 2'
loop_
_atom_site_label
_atom_site_fract_x
_atom_site_fract_y
_atom_site_fract_z
Y1 0.000 0.000 0.000
W1 0.000 0.500 0.500
O1 0.000 0.323 0.000
O2 0.219 0.000 0.500
```

Calculated values
Final energy: -8.2841 eV per atom
Density of states at the Fermi level: 0.0 states/eV/cell